Entry from OQMD via LeMat-Bulk: an optimized crystal structure of Tm2LuSe3 (PBE).

Properties
Calculated density   9.20 g cm⁻³
Total DFT energy (no corrections)   -5.62 eV per atom

CIF file:
```
data_Tm2LuSe3
_chemical_formula_sum 'Tm2 Lu1 Se3'
_cell_length_a 3.977
_cell_length_b 3.977
_cell_length_c 9.881
_cell_angle_alpha 90.00
_cell_angle_beta 90.00
_cell_angle_gamma 120.00
_space_group_name_H-M_alt 'P 1'
_space_group_IT_number 1
loop_
_space_group_symop_operation_xyz
'x,y,z'
loop_
_atom_site_label
_atom_site_type_symbol
_atom_site_fract_x
_atom_site_fract_y
_atom_site_fract_z
_atom_site_occupancy
Se1 Se 0.667 0.333 0.336 1
Se2 Se 0.000 0.000 0.000 1
Se3 Se 0.333 0.667 0.664 1
Tm1 Tm 0.667 0.333 0.834 1
Tm2 Tm 0.333 0.667 0.166 1
Lu1 Lu 0.000 0.000 0.500 1
```